## NdYMgAu (GGA-PBE)

Data for a relaxed structure of NdYMgAu.

```
data_NdYMgAu
_chemical_formula_sum 'Nd1 Y1 Mg1 Au1'
_space_group_name_H-M_alt 'P 1'
_space_group_IT_number 1
_space_group_name_Hall 'P 1'
_cell_length_a 3.755
_cell_length_b 3.755
_cell_length_c 7.428
_cell_angle_alpha 90.00
_cell_angle_beta 90.00
_cell_angle_gamma 90.00
loop_
_atom_site_label
_atom_site_fract_x
_atom_site_fract_y
_atom_site_fract_z
Au1 0.500 0.500 0.125
Mg1 0.500 0.500 0.595
Y1 0.000 0.000 0.340
Nd1 0.000 0.000 0.868
```

Computed properties:
For the total energy, the calculation gives -4.481 eV/atom. As for the total magnetization: 0.0 μB/f.u. For the calculated volume, the calculation gives 26.18 A^3/atom. For the energy above the lowest structure with this stoichiometry, the calculation gives 0 meV per atom. The calculation puts the formation energy at -1.822 eV/f.u.